# 1
## ZnInSeN2 (GGA-PBE)

Data for a geometry-optimized ZnInSeN2 structure.

Unit cell a=4.1016 b=4.1016 c=6.7042 alpha=90.00 beta=90.00 gamma=90.00
Closest atoms and distances in Å follow each position.
Atoms (fractional coordinates):
1 Zn 0.0000 0.0000 0.0000  4 Se 2.90
2 In 0.0000 0.0000 0.5000  4 N 2.05
3 Se 0.5000 0.5000 0.0000  4 Zn 2.90
4 N 0.0000 0.5000 0.5000  2 In 2.05
5 N 0.5000 0.0000 0.5000  2 In 2.05

Computed properties:
- Raw formation energy: 1.482 eV per atom
- Fermi-level density of states: 2.0 states/eV/cell
- Total energy: -3.35 eV per atom
- Energy relative to the lowest polymorph listed for this composition: 0.2724 eV per atom


# 2
## InSiN2 (GGA-PBE)

Data for a geometry-optimized InSiN2 structure.

Unit cell a=6.4312 b=6.4312 c=6.4312 alpha=26.41 beta=26.41 gamma=26.41
Closest atoms and distances in Å follow each position.
Atoms (fractional coordinates):
1 In 0.0000 0.0000 0.0000  2 N 2.18
2 Si 0.5000 0.5000 0.5000  6 N 1.93
3 N 0.1169 0.1169 0.1169  3 Si 1.93
4 N 0.8831 0.8831 0.8831  3 Si 1.93

Computed properties:
- Raw formation energy: -0.104 eV per atom
- Fermi-level density of states: 1.6 states/eV/cell
- Total energy: -6.31 eV per atom
- Energy relative to the lowest polymorph listed for this composition: 0.1847 eV per atom


# 3
## InSiN2 (GGA-PBE)

Data for a geometry-optimized InSiN2 structure.

Unit cell a=4.0095 b=4.0095 c=4.0095 alpha=60.00 beta=60.00 gamma=60.00
Closest atoms and distances in Å follow each position.
Atoms (fractional coordinates):
1 In 0.0000 0.0000 0.0000  8 N 2.46
2 Si 0.5000 0.5000 0.5000  8 N 2.46
3 N 0.2500 0.2500 0.2500  4 In 2.46, 4 Si 2.46
4 N 0.7500 0.7500 0.7500  4 In 2.46, 4 Si 2.46

Computed properties:
- Raw formation energy: 1.342 eV per atom
- Fermi-level density of states: 2.3 states/eV/cell
- Total energy: -4.86 eV per atom
- Energy relative to the lowest polymorph listed for this composition: 1.6309 eV per atom


# 4
## In2SiN2 (GGA-PBE)

Data for a geometry-optimized In2SiN2 structure.

Unit cell a=6.9641 b=6.9641 c=3.0634 alpha=90.00 beta=90.00 gamma=90.00
Closest atoms and distances in Å follow each position.
Atoms (fractional coordinates):
1 In 0.1472 0.3528 0.0000  6 N 2.51-2.58, 2 Si 2.66
2 In 0.3528 0.8528 0.0000  6 N 2.51-2.58, 2 Si 2.66
3 In 0.6472 0.1472 0.0000  6 N 2.51-2.58, 2 Si 2.66
4 In 0.8528 0.6472 0.0000  6 N 2.51-2.58, 2 Si 2.66
5 Si 0.0000 0.0000 0.0000  4 In 2.66
6 Si 0.5000 0.5000 0.0000  4 In 2.66
7 N 0.1504 0.6504 0.5000  6 In 2.51-2.58
8 N 0.3496 0.1504 0.5000  6 In 2.51-2.58
9 N 0.6504 0.8496 0.5000  6 In 2.51-2.58
10 N 0.8496 0.3496 0.5000  6 In 2.51-2.58

Computed properties:
- Raw formation energy: 1.263 eV per atom
- Fermi-level density of states: 6.7 states/eV/cell
- Total energy: -4.25 eV per atom
- Energy relative to the lowest polymorph listed for this composition: 0.2868 eV per atom